[1]
# Rb2NiAuN GGA-PBE optimized geometry
# * density: 5.4 g/cm³
# * density of states at the Fermi level: 3.9 states/eV/f.u.
# * formation energy (no corrections): -0.05 eV/atom
data_Rb2NiAuN
_chemical_formula_sum 'Rb2 Ni1 Au1 N1'
_symmetry_space_group_name_H-M 'P 4/m m m'
_symmetry_Int_Tables_number 123
_symmetry_space_group_name_Hall '-P 4 2'
_cell_length_a 6.243
_cell_length_b 6.243
_cell_length_c 3.451
_cell_angle_alpha 90.00
_cell_angle_beta 90.00
_cell_angle_gamma 90.00
loop_
_atom_site_label
_atom_site_type_symbol
_atom_site_fract_x
_atom_site_fract_y
_atom_site_fract_z
_atom_site_occupancy
Rb1 Rb 0.000 0.500 0.000 1
Ni1 Ni 0.000 0.000 0.500 1
Au1 Au 0.500 0.500 0.500 1
N1 N 0.000 0.000 0.000 1

[2]
# NiRh2AuN GGA-PBE optimized geometry
# * density: 12.1 g/cm³
# * density of states at the Fermi level: 6.9 states/eV/f.u.
# * formation energy (no corrections): 0.17 eV/atom
data_NiRh2AuN
_chemical_formula_sum 'Ni1 Rh2 Au1 N1'
_symmetry_space_group_name_H-M 'P 4/m m m'
_symmetry_Int_Tables_number 123
_symmetry_space_group_name_Hall '-P 4 2'
_cell_length_a 4.107
_cell_length_b 4.107
_cell_length_c 3.862
_cell_angle_alpha 90.00
_cell_angle_beta 90.00
_cell_angle_gamma 90.00
loop_
_atom_site_label
_atom_site_type_symbol
_atom_site_fract_x
_atom_site_fract_y
_atom_site_fract_z
_atom_site_occupancy
Ni1 Ni 0.000 0.000 0.000 1
Rh1 Rh 0.000 0.500 0.500 1
Au1 Au 0.500 0.500 0.000 1
N1 N 0.000 0.000 0.500 1

[3]
# NiRu2AuN GGA-PBE optimized geometry
# * density: 12.2 g/cm³
# * density of states at the Fermi level: 6.9 states/eV/f.u.
# * formation energy (no corrections): 0.27 eV/atom
data_NiRu2AuN
_chemical_formula_sum 'Ni1 Ru2 Au1 N1'
_symmetry_space_group_name_H-M 'P 4/m m m'
_symmetry_Int_Tables_number 123
_symmetry_space_group_name_Hall '-P 4 2'
_cell_length_a 4.037
_cell_length_b 4.037
_cell_length_c 3.936
_cell_angle_alpha 90.00
_cell_angle_beta 90.00
_cell_angle_gamma 90.00
loop_
_atom_site_label
_atom_site_type_symbol
_atom_site_fract_x
_atom_site_fract_y
_atom_site_fract_z
_atom_site_occupancy
Ni1 Ni 0.000 0.000 0.000 1
Ru1 Ru 0.000 0.500 0.500 1
Au1 Au 0.500 0.500 0.000 1
N1 N 0.000 0.000 0.500 1

> What is the formula in the second record?

NiRh2AuN

> Look up the density of states at the Fermi level of the third one.

6.9 states/eV/f.u.